Record 1
Below is MgTaIr2 at its PBEsol-relaxed geometry, with properties calculated at the SCAN level.

The calculation puts the energy of formation at -8.4 kcal/mol of atoms. The value obtained for the density of states at the Fermi level is 0.61 states/eV/atom.

The structure belongs to space group R-3m (No. 166, hexagonal axes); the cell edges are 2.8431, 2.8431 and 26.6060 Å and the angles 90.00°, 90.00° and 120.00°. The asymmetric unit holds Mg at (0.0000, 0.0000, 0.0000), Ta at (0.0000, 0.0000, 0.5000) and Ir at (0.0000, 0.0000, 0.2487).

Record 2
Below is Be2OsW2 at its PBEsol-relaxed geometry, with properties calculated at the SCAN level.

The calculation puts the energy of formation at -2.8 kcal/mol of atoms. The value obtained for the density of states at the Fermi level is 0.68 states/eV/atom.

The structure belongs to space group P4/mbm (No. 127); the cell edges are 6.1561, 6.1561 and 3.1233 Å and the angles 90.00°, 90.00° and 90.00°. The asymmetric unit holds Be at (0.1205, 0.3795, 0.0000), Os at (0.0000, 0.0000, 0.0000) and W at (0.1719, 0.6719, 0.5000).

Record 3
Below is EuP2Ru2 at its PBEsol-relaxed geometry, with properties calculated at the SCAN level.

The calculation puts the energy of formation at -24.0 kcal/mol of atoms. The value obtained for the density of states at the Fermi level is 0.44 states/eV/atom.

The structure belongs to space group I4/mmm (No. 139); the cell edges are 4.0210, 4.0210 and 9.9333 Å and the angles 90.00°, 90.00° and 90.00°. The asymmetric unit holds Eu at (0.0000, 0.0000, 0.0000), P at (0.0000, 0.0000, 0.3668) and Ru at (0.0000, 0.5000, 0.2500).

Record 4
Below is Ba2BeBr at its PBEsol-relaxed geometry, with properties calculated at the SCAN level.

The value obtained for the density of states at the Fermi level is 1.30 states/eV/atom. The value obtained for the formation energy without anion corrections is -0.56 eV/atom.

The structure belongs to space group P4/mmm (No. 123); the cell edges are 4.6528, 4.6528 and 6.6410 Å and the angles 90.00°, 90.00° and 90.00°. The asymmetric unit holds Ba at (0.0000, 0.0000, 0.0000), Ba at (0.5000, 0.5000, 0.5000), Be at (0.0000, 0.0000, 0.5000) and Br at (0.5000, 0.5000, 0.0000).

Record 5
Below is LuAu4 at its PBEsol-relaxed geometry, with properties calculated at the SCAN level.

The calculation puts the energy of formation at -16.9 kcal/mol of atoms. The value obtained for the density of states at the Fermi level is 0.26 states/eV/atom.

The structure belongs to space group I4/m (No. 87); the cell edges are 6.6117, 6.6117 and 4.0889 Å and the angles 90.00°, 90.00° and 90.00°. The asymmetric unit holds Lu at (0.0000, 0.0000, 0.0000) and Au at (0.1012, 0.6999, 0.5000).

Record 6
Below is YSi2Hg at its PBEsol-relaxed geometry, with properties calculated at the SCAN level.

The value obtained for the density of states at the Fermi level is 0.39 states/eV/atom. The value obtained for the formation energy without anion corrections is -0.16 eV/atom.

The structure belongs to space group I-4m2 (No. 119); the cell edges are 4.0112, 4.0112 and 9.4352 Å and the angles 90.00°, 90.00° and 90.00°. The asymmetric unit holds Y at (0.0000, 0.0000, 0.0000), Si at (0.0000, 0.0000, 0.5000), Si at (0.0000, 0.5000, 0.7500) and Hg at (0.0000, 0.5000, 0.2500).